No. 1
Below is crystalline La2Pm4Dy3 at its relaxed geometry, with properties calculated at the PBE level.

- DFT formation energy (eV/atom) = 0.05
- energy (eV/cell) = -42.17
- SG = No. 156

a = 3.642 Å, b = 3.642 Å, c = 27.095 Å
α = 90.00°, β = 90.00°, γ = 120.00°
Element x y z (fractional)
Dy1 0.000 0.000 0.326
Dy2 0.667 0.333 0.651
Dy3 0.000 0.000 0.982
La1 0.667 0.333 0.872
La2 0.667 0.333 0.089
Pm1 0.000 0.000 0.544
Pm2 0.000 0.000 0.757
Pm3 0.667 0.333 0.222
Pm4 0.667 0.333 0.434


No. 2
Below is crystalline KBP2O at its relaxed geometry, with properties calculated at the PBE level.

- formation energy without anion corrections (meV per atom) = 531
- energy (eV/cell) = -20.90
- SG = No. 123

a = 3.907 Å, b = 3.907 Å, c = 6.196 Å
α = 90.00°, β = 90.00°, γ = 90.00°
Site moments in Bohr magnetons follow the coordinates.
Element x y z (fractional)
K1 0.500 0.500 0.500  0.00
O1 0.000 0.000 0.500  0.84
P1 0.500 0.000 0.000  0.06
P2 0.000 0.500 0.000  0.06
B1 0.000 0.000 0.000  -0.01


| no. | magnetization (μB/atom) | polymorph energy (0 for the lowest one) (meV/atom) |
| --- | --- | --- |
| 1 | 0.000 | 0 |
| 2 | 0.258 | 0 |